(1)
{
  "formula": "PaAlGaSe",
  "functional": "GGA-PBE",
  "state": "relaxed",
  "sg": "P4/nmm (129)",
  "raw_formation_energy_ev_per_atom": -0.5889,
  "lattice_angstrom": [[4.385, 0.000, 0.000], [0.000, 4.385, 0.000], [0.000, 0.000, 8.663]],
  "species": ["Pa", "Pa", "Al", "Al", "Ga", "Ga", "Se", "Se"],
  "frac_coords": [[0.500, 0.000, 0.719], [0.000, 0.500, 0.281], [0.500, 0.500, 0.000], [0.000, 0.000, 0.000], [0.000, 0.500, 0.821], [0.500, 0.000, 0.179], [0.000, 0.000, 0.500], [0.500, 0.500, 0.500]]
}

(2)
{
  "formula": "PaAl2GaSi",
  "functional": "GGA-PBE",
  "state": "relaxed",
  "sg": "Cmcm (63)",
  "raw_formation_energy_ev_per_atom": -0.0042,
  "lattice_angstrom": [[-2.727, 1.329, -2.528], [-2.819, -1.233, 5.476], [1.492, 7.915, 2.551]],
  "species": ["Pa", "Pa", "Al", "Al", "Al", "Al", "Ga", "Ga", "Si", "Si"],
  "frac_coords": [[0.437, 0.874, 0.750], [0.563, 0.126, 0.250], [0.193, 0.385, 0.926], [0.807, 0.615, 0.074], [0.193, 0.385, 0.574], [0.807, 0.615, 0.426], [0.000, 0.000, 0.000], [0.000, 0.000, 0.500], [0.752, 0.505, 0.750], [0.248, 0.495, 0.250]]
}

(3)
{
  "formula": "Sm2PaAl3Ga6",
  "functional": "GGA-PBE",
  "state": "relaxed",
  "sg": "P4/mmm (123)",
  "lattice_angstrom": [[-2.079, -2.097, -2.998], [-1.972, -2.262, 2.950], [-10.242, 9.515, 0.447]],
  "species": ["Sm", "Sm", "Pa", "Al", "Al", "Al", "Ga", "Ga", "Ga", "Ga", "Ga", "Ga"],
  "frac_coords": [[0.500, 0.500, 0.131], [0.500, 0.500, 0.869], [0.500, 0.500, 0.500], [0.000, 0.000, 0.415], [0.000, 0.000, 0.585], [0.000, 0.000, 0.000], [0.000, 0.500, 0.693], [0.500, 0.000, 0.307], [0.500, 0.000, 0.693], [0.000, 0.000, 0.182], [0.000, 0.500, 0.307], [0.000, 0.000, 0.818]]
}

Total DFT energy (no corrections) across the listed records, respectively: -44.2; -50.9; -51.8 eV/cell.